(1)
# PBEsol IClOF, relaxed
# Space group ... No. 14
data_IClOF
_space_group_name_H-M_alt 'P 1'
_space_group_IT_number 1
_cell_length_a 7.105
_cell_length_b 7.694
_cell_length_c 12.622
_cell_angle_alpha 93.60
_cell_angle_beta 90.00
_cell_angle_gamma 90.00
loop_
_space_group_symop_operation_xyz
'x,y,z'
loop_
_atom_site_label
_atom_site_fract_x
_atom_site_fract_y
_atom_site_fract_z
_atom_site_occupancy
F1 0.865 0.433 0.425 1
F2 0.635 0.933 0.425 1
F3 0.135 0.567 0.575 1
F4 0.151 0.752 0.396 1
F5 0.651 0.748 0.604 1
F6 0.349 0.252 0.396 1
F7 0.849 0.248 0.604 1
F8 0.365 0.067 0.575 1
O1 0.657 0.252 0.280 1
O2 0.474 0.452 0.604 1
O3 0.343 0.748 0.720 1
O4 0.026 0.952 0.604 1
O5 0.974 0.048 0.396 1
O6 0.157 0.248 0.720 1
O7 0.843 0.752 0.280 1
O8 0.526 0.548 0.396 1
I1 0.548 0.654 0.222 1
I2 0.952 0.154 0.222 1
I3 0.611 0.325 0.417 1
I4 0.048 0.846 0.778 1
I5 0.889 0.825 0.417 1
I6 0.452 0.346 0.778 1
I7 0.389 0.675 0.583 1
I8 0.111 0.175 0.583 1
Cl1 0.114 0.696 0.932 1
Cl2 0.261 0.533 0.156 1
Cl3 0.739 0.467 0.844 1
Cl4 0.761 0.967 0.844 1
Cl5 0.886 0.304 0.068 1
Cl6 0.614 0.804 0.068 1
Cl7 0.386 0.196 0.932 1
Cl8 0.239 0.033 0.156 1

---

(2)
# PBEsol P2IClF, relaxed
# Space group ... No. 123
data_P2IClF
_space_group_name_H-M_alt 'P 1'
_space_group_IT_number 1
_cell_length_a 5.230
_cell_length_b 5.231
_cell_length_c 5.231
_cell_angle_alpha 90.00
_cell_angle_beta 90.00
_cell_angle_gamma 90.00
loop_
_space_group_symop_operation_xyz
'x,y,z'
loop_
_atom_site_label
_atom_site_fract_x
_atom_site_fract_y
_atom_site_fract_z
_atom_site_occupancy
I1 0.000 0.000 0.000 1
Cl1 0.500 0.000 0.000 1
P1 0.000 0.500 0.000 1
P2 0.000 0.000 0.500 1
F1 0.500 0.500 0.500 1

---

Calculated total energy (computed, eV per cell): -109.4, -11.8